Below is a relaxed structure of ZnCu2SiSe4, with properties calculated at the PBEsol level.

a = 5.518 Å, b = 5.518 Å, c = 6.703 Å
α = 114.30°, β = 114.30°, γ = 90.00°
Fractional positions:
Se: 0.383 0.373 0.243
Se: 0.130 0.617 0.757
Se: 0.860 0.870 0.243
Se: 0.627 0.140 0.757
Zn: 0.250 0.750 0.500
Si: 0.500 0.500 0.000
Cu: 0.000 0.000 0.000
Cu: 0.750 0.250 0.500

Values from the calculation:
**Formation energy without anion corrections**: -385.3 meV per atom
**Calculated volume**: 20.74 A^3/atom

---

Below is a relaxed structure of LiMg2Cd, with properties calculated at the PBEsol level.

a = 4.523 Å, b = 3.869 Å, c = 4.523 Å
α = 90.00°, β = 90.00°, γ = 90.00°
Fractional positions:
Mg: 0.500 0.000 0.500
Mg: 0.000 0.000 0.000
Cd: 0.500 0.500 0.000
Li: 0.000 0.500 0.500

Values from the calculation:
**Formation energy from the elements**: -0.140 eV/atom
**Calculated volume**: 19.78 A^3/atom

---

Below is a relaxed structure of Sb2RuPt, with properties calculated at the PBEsol level.

a = 4.667 Å, b = 4.667 Å, c = 4.667 Å
α = 60.00°, β = 60.00°, γ = 60.00°
Fractional positions:
Sb: 0.750 0.750 0.750
Sb: 0.250 0.250 0.250
Pt: 0.000 0.000 0.000
Ru: 0.500 0.500 0.500

Values from the calculation:
**E above lowest polymorph**: 142 meV/atom
**Formation energy without anion corrections**: 149.4 meV per atom
**Calculated volume**: 17.97 A^3/atom

---

Below is a relaxed structure of AlAg2Te, with properties calculated at the PBEsol level.

a = 3.114 Å, b = 5.221 Å, c = 5.221 Å
α = 111.67°, β = 90.00°, γ = 90.00°
Fractional positions:
Al: 0.500 0.000 0.000
Ag: 0.000 0.500 0.000
Ag: 0.000 0.000 0.500
Te: 0.500 0.500 0.500

Values from the calculation:
**E above lowest polymorph**: 0 meV/atom
**Formation energy without anion corrections**: 178.9 meV per atom
**Calculated volume**: 19.72 A^3/atom

---

Below is a relaxed structure of Lu2C3N6, with properties calculated at the PBEsol level.

a = 6.099 Å, b = 6.099 Å, c = 6.099 Å
α = 60.71°, β = 60.71°, γ = 60.71°
Fractional positions:
C: 0.715 0.000 0.285
C: 0.285 0.715 0.000
C: 0.000 0.285 0.715
N: 0.597 0.017 0.159
N: 0.017 0.159 0.597
N: 0.983 0.403 0.841
N: 0.841 0.983 0.403
N: 0.159 0.597 0.017
N: 0.403 0.841 0.983
Lu: 0.173 0.173 0.173
Lu: 0.827 0.827 0.827

Values from the calculation:
**E above lowest polymorph**: 39 meV/atom
**Formation energy without anion corrections**: -860.2 meV per atom
**Calculated volume**: 14.82 A^3/atom

---

Below is a relaxed structure of BaGaBO3F2, with properties calculated at the PBEsol level.

a = 4.886 Å, b = 4.886 Å, c = 9.547 Å
α = 90.00°, β = 90.00°, γ = 120.00°
Fractional positions:
Ga: 0.333 0.667 0.250
Ga: 0.667 0.333 0.750
Ba: 0.000 0.000 0.000
Ba: 0.000 0.000 0.500
F: 0.667 0.333 0.956
F: 0.333 0.667 0.044
F: 0.333 0.667 0.456
F: 0.667 0.333 0.544
O: 0.372 0.065 0.250
O: 0.935 0.307 0.250
O: 0.628 0.935 0.750
O: 0.065 0.693 0.750
O: 0.693 0.628 0.250
O: 0.307 0.372 0.750
B: 0.333 0.667 0.750
B: 0.667 0.333 0.250

Values from the calculation:
**Formation energy without anion corrections**: -2821.1 meV per atom
**Calculated volume**: 12.33 A^3/atom

---

Below is a relaxed structure of CaRu3, with properties calculated at the PBEsol level.

a = 4.423 Å, b = 4.423 Å, c = 4.423 Å
α = 60.00°, β = 60.00°, γ = 60.00°
Fractional positions:
Ru: 0.750 0.750 0.750
Ru: 0.500 0.500 0.500
Ru: 0.250 0.250 0.250
Ca: 0.000 0.000 0.000

Values from the calculation:
**Formation energy from the elements**: 0.644 eV/atom
**Calculated volume**: 15.30 A^3/atom

---

Below is a relaxed structure of RbPI3, with properties calculated at the PBEsol level.

a = 5.612 Å, b = 5.612 Å, c = 5.612 Å
α = 90.00°, β = 90.00°, γ = 90.00°
Fractional positions:
P: 0.000 0.000 0.000
I: 0.000 0.000 0.500
I: 0.500 0.000 0.000
I: 0.000 0.500 0.000
Rb: 0.500 0.500 0.500

Values from the calculation:
**Formation energy without anion corrections**: -522.6 meV per atom
**Calculated volume**: 35.35 A^3/atom

---

Below is a relaxed structure of LaHfRe3, with properties calculated at the PBEsol level.

a = 4.833 Å, b = 4.833 Å, c = 4.833 Å
α = 90.00°, β = 90.00°, γ = 90.00°
Fractional positions:
Re: 0.000 0.500 0.000
Re: 0.500 0.000 0.000
Re: 0.000 0.000 0.500
La: 0.500 0.500 0.500
Hf: 0.000 0.000 0.000

Values from the calculation:
**Formation energy from the elements**: 1.755 eV/atom
**Calculated volume**: 22.58 A^3/atom

---

Below is a relaxed structure of CsPbI3, with properties calculated at the PBEsol level.

a = 8.325 Å, b = 8.954 Å, c = 12.363 Å
α = 90.00°, β = 90.00°, γ = 90.00°
Fractional positions:
Cs: 0.968 0.916 0.250
Cs: 0.532 0.416 0.250
Cs: 0.468 0.584 0.750
Cs: 0.032 0.084 0.750
Pb: 0.000 0.500 0.500
Pb: 0.000 0.500 0.000
Pb: 0.500 0.000 0.500
Pb: 0.500 0.000 0.000
I: 0.314 0.306 0.960
I: 0.686 0.694 0.040
I: 0.686 0.694 0.460
I: 0.080 0.504 0.250
I: 0.186 0.806 0.960
I: 0.314 0.306 0.540
I: 0.186 0.806 0.540
I: 0.814 0.194 0.460
I: 0.920 0.496 0.750
I: 0.814 0.194 0.040
I: 0.580 0.996 0.750
I: 0.420 0.004 0.250

Values from the calculation:
**Formation energy without anion corrections**: -990.0 meV per atom
**Calculated volume**: 46.08 A^3/atom

---

Below is a relaxed structure of RbZn2Ge2, with properties calculated at the PBEsol level.

a = 4.428 Å, b = 4.428 Å, c = 6.196 Å
α = 110.94°, β = 110.94°, γ = 90.00°
Fractional positions:
Rb: 0.000 0.000 0.000
Ge: 0.621 0.621 0.242
Ge: 0.379 0.379 0.758
Zn: 0.250 0.750 0.500
Zn: 0.750 0.250 0.500

Values from the calculation:
**Formation energy from the elements**: -0.048 eV/atom
**Calculated volume**: 20.97 A^3/atom

---

Below is a relaxed structure of CaWS2N, with properties calculated at the PBEsol level.

a = 4.099 Å, b = 5.062 Å, c = 5.062 Å
α = 90.00°, β = 90.00°, γ = 90.00°
Fractional positions:
Ca: 0.000 0.000 0.000
W: 0.500 0.500 0.500
S: 0.000 0.500 0.000
S: 0.000 0.000 0.500
N: 0.500 0.000 0.000

Values from the calculation:
**Formation energy without anion corrections**: 1603.4 meV per atom
**Calculated volume**: 21.00 A^3/atom

---

Below is a relaxed structure of ZrCuSi, with properties calculated at the PBEsol level.

a = 3.902 Å, b = 6.454 Å, c = 7.208 Å
α = 90.00°, β = 90.00°, γ = 90.00°
Fractional positions:
Zr: 0.250 0.008 0.305
Zr: 0.750 0.992 0.695
Zr: 0.750 0.492 0.805
Zr: 0.250 0.508 0.195
Cu: 0.250 0.673 0.578
Cu: 0.750 0.327 0.422
Cu: 0.250 0.173 0.922
Cu: 0.750 0.827 0.078
Si: 0.250 0.282 0.599
Si: 0.750 0.718 0.401
Si: 0.750 0.218 0.099
Si: 0.250 0.782 0.901

Values from the calculation:
**Formation energy without anion corrections**: -737.5 meV per atom
**Calculated volume**: 15.13 A^3/atom

---

Below is a relaxed structure of ScCdRe2, with properties calculated at the PBEsol level.

a = 2.756 Å, b = 4.709 Å, c = 5.184 Å
α = 90.00°, β = 97.38°, γ = 90.00°
Fractional positions:
Re: 0.207 0.000 0.229
Re: 0.793 0.000 0.771
Sc: 0.500 0.500 0.000
Cd: 0.000 0.500 0.500

Values from the calculation:
**Formation energy from the elements**: 0.293 eV/atom
**Calculated volume**: 16.68 A^3/atom

---

Below is a relaxed structure of YSbP2, with properties calculated at the PBEsol level.

a = 3.805 Å, b = 4.102 Å, c = 5.739 Å
α = 90.90°, β = 109.36°, γ = 90.00°
Fractional positions:
Sb: 0.496 0.360 0.992
Y: 0.726 0.868 0.451
P: 0.268 0.371 0.535
P: 0.011 0.901 0.022

Values from the calculation:
**Formation energy without anion corrections**: -719.2 meV per atom
**Calculated volume**: 21.12 A^3/atom

---

Below is a relaxed structure of RbHfTa2Sn, with properties calculated at the PBEsol level.

a = 4.751 Å, b = 4.751 Å, c = 5.397 Å
α = 90.00°, β = 90.00°, γ = 90.00°
Fractional positions:
Sn: 0.000 0.000 0.500
Ta: 0.500 0.000 0.000
Ta: 0.000 0.500 0.000
Rb: 0.000 0.000 0.000
Hf: 0.500 0.500 0.500

Values from the calculation:
**Formation energy from the elements**: 2.709 eV/atom
**Calculated volume**: 24.36 A^3/atom

---

Below is a relaxed structure of HfTe2, with properties calculated at the PBEsol level.

a = 3.868 Å, b = 3.868 Å, c = 6.596 Å
α = 90.00°, β = 90.00°, γ = 120.00°
Fractional positions:
Te: 0.667 0.333 0.729
Te: 0.333 0.667 0.271
Hf: 0.000 0.000 0.000

Values from the calculation:
**Formation energy without anion corrections**: -810.5 meV per atom
**Calculated volume**: 28.49 A^3/atom

---

Below is a relaxed structure of TlCdPS2, with properties calculated at the PBEsol level.

a = 5.047 Å, b = 5.047 Å, c = 5.050 Å
α = 90.00°, β = 90.00°, γ = 90.00°
Fractional positions:
S: 0.500 0.000 0.000
S: 0.000 0.500 0.000
Cd: 0.500 0.500 0.500
P: 0.000 0.000 0.500
Tl: 0.000 0.000 0.000

Values from the calculation:
**Formation energy without anion corrections**: 940.5 meV per atom
**Calculated volume**: 25.72 A^3/atom

---

Below is a relaxed structure of YMgNi3, with properties calculated at the PBEsol level.

a = 4.605 Å, b = 4.605 Å, c = 4.605 Å
α = 90.00°, β = 90.00°, γ = 90.00°
Fractional positions:
Ni: 0.500 0.000 0.000
Ni: 0.000 0.000 0.500
Ni: 0.000 0.500 0.000
Y: 0.000 0.000 0.000
Mg: 0.500 0.500 0.500

Values from the calculation:
**Formation energy from the elements**: 1.031 eV/atom
**Calculated volume**: 19.54 A^3/atom

---

Below is a relaxed structure of Ta2IrRu, with properties calculated at the PBEsol level.

a = 4.137 Å, b = 4.670 Å, c = 4.137 Å
α = 63.71°, β = 90.00°, γ = 116.29°
Fractional positions:
Ir: 0.500 0.000 0.500
Ta: 0.750 0.500 0.750
Ta: 0.250 0.500 0.250
Ru: 0.000 0.000 0.000

Values from the calculation:
**Formation energy from the elements**: -0.408 eV/atom
**Calculated volume**: 15.58 A^3/atom